## Pm2DyHo3 (PBE)

Data for a geometry-optimized Pm2DyHo3 structure.

Calculated values
Magnetization in μB/f.u.: 0.000
E above lowest polymorph in eV/atom: 0.0000

Unit cell a=8.971 b=8.971 c=9.963 alpha=123.02 beta=123.02 gamma=36.25
Fractional positions:
Pm  0.008  0.008  0.358
Pm  0.269  0.269  0.626
Pm  0.731  0.731  0.374
Pm  0.992  0.992  0.642
Dy  0.368  0.368  0.366
Dy  0.632  0.632  0.634
Ho  0.114  0.114  0.156
Ho  0.210  0.210  0.926
Ho  0.453  0.453  0.110
Ho  0.547  0.547  0.890
Ho  0.790  0.790  0.074
Ho  0.886  0.886  0.844